! Tb2Pm2Y4Ho | Alexandria | GGA-PBE | optimized geometry; values from VASP
&SYSTEM
  ibrav = 0, nat = 9, ntyp = 4
/
ATOMIC_SPECIES
Tb 158.93 Tb.upf
Pm 145.00 Pm.upf
Y 88.91 Y.upf
Ho 164.93 Ho.upf
CELL_PARAMETERS angstrom
9.377 -1.807 0.000
9.377 1.807 0.000
-4.167 0.000 8.650
ATOMIC_POSITIONS crystal
Tb 0.148 0.148 0.164
Tb 0.852 0.852 0.836
Pm 0.334 0.334 0.502
Pm 0.666 0.666 0.498
Y 0.185 0.185 0.834
Y 0.481 0.481 0.166
Y 0.519 0.519 0.834
Y 0.815 0.815 0.166
Ho 0.000 0.000 0.500
! theoretical density	6.4	g cm⁻³
! symmetry	C2/m, No. 12
! E_form	-0.07	kcal/mol of atoms
! N(E_F)	12.50	states/eV/cell